# 1
{"formula": "Cu2SiAg", "functional": "PBE", "state": "optimized geometry", "dos_at_fermi_per_ev_cell": 0.72, "magnetic_moment_mub_per_fu": 0.00, "raw_formation_energy_ev_per_atom": 0.1207, "spacegroup": "Cmmm", "cell": [[2.719, -3.656, 0.000], [2.719, 3.656, 0.000], [0.000, 0.000, 2.792]], "species": ["Cu", "Cu", "Si", "Ag"], "fractional_positions": [[0.000, 0.500, 0.000], [0.500, 0.000, 0.000], [0.000, 0.000, 0.500], [0.500, 0.500, 0.500]]}

=====

# 2
{"formula": "CuSi2Ag", "functional": "PBE", "state": "optimized geometry", "de_polymorph_ev_per_atom": 0.164, "dos_at_fermi_per_ev_cell": 1.12, "magnetic_moment_mub_per_fu": 0.00, "raw_formation_energy_ev_per_atom": 0.3752, "spacegroup": "Pmmm", "cell": [[2.639, 0.000, 0.000], [0.000, 4.480, 0.000], [0.000, 0.000, 5.278]], "species": ["Cu", "Si", "Si", "Ag"], "fractional_positions": [[0.000, 0.000, 0.000], [0.000, 0.500, 0.500], [0.500, 0.500, 0.000], [0.500, 0.000, 0.500]]}

=====

# 3
{"formula": "Cu2SiAg", "functional": "PBE", "state": "optimized geometry", "dos_at_fermi_per_ev_cell": 1.15, "magnetic_moment_mub_per_fu": 0.00, "raw_formation_energy_ev_per_atom": 0.1318, "spacegroup": "I-4m2", "cell": [[-1.900, 1.900, 3.830], [1.900, -1.900, 3.830], [1.900, 1.900, -3.830]], "species": ["Cu", "Cu", "Si", "Ag"], "fractional_positions": [[0.000, 0.000, 0.000], [0.750, 0.250, 0.500], [0.250, 0.750, 0.500], [0.500, 0.500, 0.000]]}

=====

# 4
{"formula": "CuSi2Ag", "functional": "PBE", "state": "optimized geometry", "de_polymorph_ev_per_atom": 0.062, "dos_at_fermi_per_ev_cell": 1.00, "magnetic_moment_mub_per_fu": 0.00, "raw_formation_energy_ev_per_atom": 0.2737, "spacegroup": "Cm", "cell": [[4.808, -1.433, 0.000], [4.808, 1.433, 0.000], [-0.010, 0.000, 4.395]], "species": ["Cu", "Si", "Si", "Ag"], "fractional_positions": [[0.000, 0.000, 0.000], [0.240, 0.240, 0.262], [0.483, 0.483, 0.486], [0.733, 0.733, 0.768]]}